No. 1
# LaZnAg5

An optimized crystal structure of LaZnAg5 (PBE, the Alexandria database).

Results
- Total moment: 0.0 μB/f.u.
- ΔE_f: -154 meV per atom
- ρ: 8.58 g cm⁻³

abc: 9.011 5.742 11.127
angles: 90.00 90.00 90.00
Fractional positions:
La  0.242  0.250  0.064
La  0.258  0.750  0.564
La  0.742  0.250  0.436
La  0.758  0.750  0.936
Zn  0.154  0.750  0.851
Zn  0.346  0.250  0.351
Zn  0.654  0.750  0.649
Zn  0.846  0.250  0.149
Ag  0.057  0.010  0.301
Ag  0.057  0.490  0.301
Ag  0.070  0.750  0.078
Ag  0.103  0.250  0.517
Ag  0.188  0.250  0.767
Ag  0.312  0.750  0.267
Ag  0.397  0.750  0.017
Ag  0.430  0.250  0.578
Ag  0.443  0.510  0.801
Ag  0.443  0.990  0.801
Ag  0.557  0.010  0.199
Ag  0.557  0.490  0.199
Ag  0.570  0.750  0.422
Ag  0.603  0.250  0.983
Ag  0.688  0.250  0.733
Ag  0.812  0.750  0.233
Ag  0.897  0.750  0.483
Ag  0.930  0.250  0.922
Ag  0.943  0.510  0.699
Ag  0.943  0.990  0.699

---

No. 2
# LaZnAg

An optimized crystal structure of LaZnAg (PBE, the Alexandria database).

Results
- Total moment: 0.0 μB/f.u.
- ΔE_f: -203 meV per atom
- ρ: 7.35 g cm⁻³

abc: 3.662 3.662 10.516
angles: 90.00 90.00 90.00
Fractional positions:
La  0.000  0.000  0.000
La  0.500  0.500  0.500
Zn  0.000  0.000  0.686
Zn  0.500  0.500  0.186
Ag  0.000  0.000  0.302
Ag  0.500  0.500  0.802

---

No. 3
# LaZn2Ag2

An optimized crystal structure of LaZn2Ag2 (PBE, the Alexandria database).

Results
- Total moment: 0.0 μB/f.u.
- Energy above the most stable polymorph in this dataset: 0 kJ/mol of formula units
- ΔE_f: -245 meV per atom
- ρ: 7.58 g cm⁻³

abc: 4.343 4.343 11.280
angles: 90.00 90.00 90.00
Fractional positions:
La  0.000  0.000  0.000
La  0.500  0.500  0.500
Zn  0.000  0.000  0.388
Zn  0.000  0.000  0.612
Zn  0.500  0.500  0.112
Zn  0.500  0.500  0.888
Ag  0.000  0.500  0.250
Ag  0.000  0.500  0.750
Ag  0.500  0.000  0.250
Ag  0.500  0.000  0.750

---

No. 4
# La2Zn2Ag

An optimized crystal structure of La2Zn2Ag (PBE, the Alexandria database).

Results
- Total moment: 0.0 μB/f.u.
- Energy above the most stable polymorph in this dataset: 14 kJ/mol of formula units
- ΔE_f: -270 meV per atom
- ρ: 6.91 g cm⁻³

abc: 7.310 7.310 4.643
angles: 90.00 90.00 90.00
Fractional positions:
La  0.164  0.336  0.000
La  0.336  0.836  0.000
La  0.664  0.164  0.000
La  0.836  0.664  0.000
Zn  0.133  0.633  0.500
Zn  0.367  0.133  0.500
Zn  0.633  0.867  0.500
Zn  0.867  0.367  0.500
Ag  0.000  0.000  0.500
Ag  0.500  0.500  0.500

---

Q: Number 1 is which compound?
A: LaZnAg5

---

Q: Number 2 is which compound?
A: LaZnAg

---

Copy entry 4 word for word.
# La2Zn2Ag

An optimized crystal structure of La2Zn2Ag (PBE, the Alexandria database).

Results
- Total moment: 0.0 μB/f.u.
- Energy above the most stable polymorph in this dataset: 14 kJ/mol of formula units
- ΔE_f: -270 meV per atom
- ρ: 6.91 g cm⁻³

abc: 7.310 7.310 4.643
angles: 90.00 90.00 90.00
Fractional positions:
La  0.164  0.336  0.000
La  0.336  0.836  0.000
La  0.664  0.164  0.000
La  0.836  0.664  0.000
Zn  0.133  0.633  0.500
Zn  0.367  0.133  0.500
Zn  0.633  0.867  0.500
Zn  0.867  0.367  0.500
Ag  0.000  0.000  0.500
Ag  0.500  0.500  0.500